The following is a PBEsol calculation of an optimized crystal structure of La2Ni, from Alexandria via LeMat-Bulk. Values from VASP.

**Spin magnetization**: 0.0 μB/f.u.
**Energy relative to the elements**: -0.13 eV per atom

The structure in Quantum ESPRESSO input format:
```
&SYSTEM
  ibrav = 0, nat = 12, ntyp = 2
/
ATOMIC_SPECIES
Ni 58.69 Ni.upf
La 138.91 La.upf
CELL_PARAMETERS angstrom
6.912 0.000 0.000
0.000 6.912 0.000
0.000 0.000 6.912
ATOMIC_POSITIONS angstrom
Ni 3.456 3.456 0.000
Ni 0.000 0.000 0.000
Ni 0.000 3.456 3.456
Ni 3.456 0.000 3.456
La 4.644 4.644 4.644
La 1.188 4.644 5.723
La 4.644 5.723 1.188
La 1.188 5.723 2.267
La 2.267 2.267 2.267
La 2.267 1.188 5.723
La 5.723 2.267 1.188
La 5.723 1.188 4.644
```



The following is a PBEsol calculation of an optimized crystal structure of Ti2VOs, from Alexandria via LeMat-Bulk. Values from VASP.

**Spin magnetization**: 1.6 μB/f.u.
**Energy relative to the elements**: -0.34 eV per atom

The structure in Quantum ESPRESSO input format:
```
&SYSTEM
  ibrav = 0, nat = 4, ntyp = 3
/
ATOMIC_SPECIES
V 50.94 V.upf
Ti 47.87 Ti.upf
Os 190.23 Os.upf
CELL_PARAMETERS angstrom
-3.747 -0.377 -2.161
0.018 -0.404 -4.323
-1.079 -3.786 -1.832
ATOMIC_POSITIONS angstrom
V 0.000 0.000 0.000
Ti -3.606 -3.425 -6.237
Ti -1.202 -1.142 -2.079
Os -2.404 -2.284 -4.158
```



The following is a PBEsol calculation of an optimized crystal structure of AlP3H2O10, from Alexandria via LeMat-Bulk. Values from VASP.

**Spin magnetization**: 0.0 μB/f.u.
**E**: -459.75 eV/cell

The structure in Quantum ESPRESSO input format:
```
&SYSTEM
  ibrav = 0, nat = 64, ntyp = 4
/
ATOMIC_SPECIES
O 16.00 O.upf
P 30.97 P.upf
Al 26.98 Al.upf
H 1.01 H.upf
CELL_PARAMETERS angstrom
7.294 0.000 0.005
0.000 8.561 0.000
-2.494 0.000 11.351
ATOMIC_POSITIONS angstrom
O 6.195 6.357 0.545
O 2.675 3.551 11.268
O 5.779 3.088 4.723
O 5.426 4.996 2.847
O 2.992 4.645 2.320
O 3.975 6.121 7.617
O 1.060 3.991 6.652
O 3.740 4.569 4.704
O -0.626 3.565 8.509
O 4.525 7.831 5.767
O 4.444 3.557 6.872
O 1.575 6.721 1.939
O 1.888 0.132 3.761
O -1.395 2.204 10.811
O 0.885 1.193 10.396
O 0.275 0.730 5.590
O -0.979 5.473 6.633
O 3.499 2.077 5.138
O 0.532 7.846 8.520
O 3.915 7.368 0.960
O 4.269 0.715 2.836
O 3.692 6.755 3.553
O -1.202 6.086 9.226
O 1.108 1.805 7.803
O 2.044 0.724 1.194
O 5.392 8.196 7.998
O 2.125 5.010 0.089
O 0.512 4.413 1.917
O -0.592 0.364 3.358
O 5.954 0.289 0.979
O 2.756 7.837 10.162
O 2.912 8.429 7.595
O 3.225 1.840 9.418
O 1.808 3.916 9.036
O 0.356 5.004 4.484
O 0.825 2.440 3.740
O 4.288 4.148 9.439
O 1.301 6.484 6.218
O 6.002 2.475 2.130
O -1.154 8.272 10.377
P 4.446 3.277 5.401
P 4.019 5.293 3.326
P 5.675 1.012 2.357
P -0.875 7.549 8.999
P 0.354 5.283 5.955
P -0.448 1.003 11.074
P 4.095 7.574 7.230
P 5.248 7.558 0.282
P 3.105 3.293 9.805
P 1.695 5.268 1.552
P 0.705 0.987 4.127
P 0.781 3.268 8.030
Al 5.229 4.805 8.013
Al 2.829 8.037 2.335
Al 1.971 0.524 9.021
Al -0.429 3.756 3.343
H 5.622 3.088 0.694
H -0.821 5.473 10.663
H 3.711 1.534 4.321
H -1.183 2.746 9.995
H 0.727 1.192 6.367
H 5.983 5.814 1.362
H 4.073 7.368 4.989
H 1.089 7.027 7.035
```



The following is a PBEsol calculation of an optimized crystal structure of NdSn3, from Alexandria via LeMat-Bulk. Values from VASP.

**Spin magnetization**: 0.0 μB/f.u.
**Energy relative to the elements**: -0.56 eV per atom

The structure in Quantum ESPRESSO input format:
```
&SYSTEM
  ibrav = 0, nat = 4, ntyp = 2
/
ATOMIC_SPECIES
Sn 118.71 Sn.upf
Nd 144.24 Nd.upf
CELL_PARAMETERS angstrom
4.686 0.000 0.000
0.000 4.686 0.000
0.000 0.000 4.686
ATOMIC_POSITIONS angstrom
Sn 0.000 2.343 2.343
Sn 2.343 0.000 2.343
Sn 2.343 2.343 0.000
Nd 0.000 0.000 0.000
```



The following is a PBEsol calculation of an optimized crystal structure of Ba2SiMo, from Alexandria via LeMat-Bulk. Values from VASP.

**Spin magnetization**: 3.4 μB/f.u.
**E**: -18.42 eV/cell

The structure in Quantum ESPRESSO input format:
```
&SYSTEM
  ibrav = 0, nat = 4, ntyp = 3
/
ATOMIC_SPECIES
Si 28.09 Si.upf
Ba 137.33 Ba.upf
Mo 95.94 Mo.upf
CELL_PARAMETERS angstrom
3.686 0.000 0.000
0.000 4.585 0.000
0.000 0.000 6.832
ATOMIC_POSITIONS angstrom
Si 1.843 2.292 3.416
Ba 0.000 0.000 1.766
Ba 0.000 0.000 5.066
Mo 1.843 2.292 0.000
```



The following is a PBEsol calculation of an optimized crystal structure of CaY2Br, from Alexandria via LeMat-Bulk. Values from VASP.

**Spin magnetization**: 0.0 μB/f.u.
**Energy above the lowest structure with this stoichiometry**: 0.127 eV per atom

The structure in Quantum ESPRESSO input format:
```
&SYSTEM
  ibrav = 0, nat = 4, ntyp = 3
/
ATOMIC_SPECIES
Br 79.90 Br.upf
Y 88.91 Y.upf
Ca 40.08 Ca.upf
CELL_PARAMETERS angstrom
3.627 0.000 0.000
0.000 5.486 0.000
0.000 0.000 6.113
ATOMIC_POSITIONS angstrom
Br 1.814 0.000 3.056
Y 0.000 0.000 0.000
Y 1.814 2.743 0.000
Ca 0.000 2.743 3.056
```



The following is a PBEsol calculation of an optimized crystal structure of Na9Sn4, from Alexandria via LeMat-Bulk. Values from VASP.

**Spin magnetization**: 0.0 μB/f.u.
**Energy relative to the elements**: -0.19 eV per atom

The structure in Quantum ESPRESSO input format:
```
&SYSTEM
  ibrav = 0, nat = 26, ntyp = 2
/
ATOMIC_SPECIES
Na 22.99 Na.upf
Sn 118.71 Sn.upf
CELL_PARAMETERS angstrom
-3.623 -3.207 2.294
4.985 -1.765 -0.844
7.850 9.731 26.008
ATOMIC_POSITIONS angstrom
Na 7.094 3.926 16.696
Na 3.027 1.960 13.774
Na 9.821 7.307 25.732
Na 1.208 -0.294 7.750
Na 5.339 6.618 17.689
Na 8.003 5.053 19.708
Na 2.118 0.833 10.762
Na -0.610 -2.547 1.726
Na 2.841 -1.345 2.608
Na 5.314 1.720 10.800
Na 1.414 1.753 4.685
Na 6.370 6.105 24.850
Na 8.912 6.180 22.720
Na 6.185 2.799 13.684
Na 0.299 -1.420 4.738
Na 3.897 3.040 16.658
Na 6.436 7.979 21.324
Na 2.511 3.113 8.320
Sn 4.327 5.364 14.335
Sn 3.696 -0.286 5.439
Sn 4.460 0.661 7.969
Sn 7.449 9.233 24.678
Sn 5.515 5.046 22.019
Sn 4.752 4.099 19.489
Sn 3.523 4.368 11.673
Sn 0.402 0.498 1.331
```



The following is a PBEsol calculation of an optimized crystal structure of K4CoRh, from Alexandria via LeMat-Bulk. Values from VASP.

**Spin magnetization**: 2.1 μB/f.u.
**Energy relative to the elements**: 1.38 eV per atom

The structure in Quantum ESPRESSO input format:
```
&SYSTEM
  ibrav = 0, nat = 6, ntyp = 3
/
ATOMIC_SPECIES
Rh 102.91 Rh.upf
Co 58.93 Co.upf
K 39.10 K.upf
CELL_PARAMETERS angstrom
6.298 0.000 0.000
3.149 5.454 0.000
3.149 1.818 5.142
ATOMIC_POSITIONS angstrom
Rh 9.447 5.454 3.857
Co 0.000 0.000 0.000
K 4.726 2.728 1.929
K 6.298 5.451 1.929
K 7.870 2.728 1.929
K 6.298 3.636 4.496
```



The following is a PBEsol calculation of an optimized crystal structure of Zn2H2Ru, from Alexandria via LeMat-Bulk. Values from VASP.

**Spin magnetization**: 0.0 μB/f.u.
**E**: -19.69 eV/cell

The structure in Quantum ESPRESSO input format:
```
&SYSTEM
  ibrav = 0, nat = 5, ntyp = 3
/
ATOMIC_SPECIES
H 1.01 H.upf
Zn 65.41 Zn.upf
Ru 101.07 Ru.upf
CELL_PARAMETERS angstrom
3.696 0.000 0.000
0.000 3.696 0.000
0.000 0.000 3.733
ATOMIC_POSITIONS angstrom
H 0.000 1.848 0.000
H 1.848 0.000 0.000
Zn 1.848 0.000 1.867
Zn 0.000 1.848 1.867
Ru 0.000 0.000 0.000
```



The following is a PBEsol calculation of an optimized crystal structure of Mg5Sc, from Alexandria via LeMat-Bulk. Values from VASP.

**Spin magnetization**: 0.3 μB/f.u.
**Energy relative to the elements**: -0.01 eV per atom

The structure in Quantum ESPRESSO input format:
```
&SYSTEM
  ibrav = 0, nat = 6, ntyp = 2
/
ATOMIC_SPECIES
Sc 44.96 Sc.upf
Mg 24.30 Mg.upf
CELL_PARAMETERS angstrom
-3.148 -0.461 0.520
0.366 -3.150 -0.581
2.389 -2.054 12.648
ATOMIC_POSITIONS angstrom
Sc -1.391 -1.806 -0.031
Mg 0.197 -3.172 8.381
Mg 1.194 -1.027 6.324
Mg 0.404 -0.348 2.140
Mg -0.591 -2.494 4.206
Mg 1.984 -1.707 10.507
```



The following is a PBEsol calculation of an optimized crystal structure of YAuSe2, from Alexandria via LeMat-Bulk. Values from VASP.

**Spin magnetization**: 0.0 μB/f.u.
**E**: -22.69 eV/cell

The structure in Quantum ESPRESSO input format:
```
&SYSTEM
  ibrav = 0, nat = 4, ntyp = 3
/
ATOMIC_SPECIES
Se 78.96 Se.upf
Y 88.91 Y.upf
Au 196.97 Au.upf
CELL_PARAMETERS angstrom
4.195 0.000 0.000
-2.097 3.643 -0.166
0.000 -1.942 7.798
ATOMIC_POSITIONS angstrom
Se 0.000 2.489 1.355
Se 2.097 -0.788 6.277
Y 0.000 0.000 0.000
Au 2.097 -0.971 3.899
```